No. 1
{
  "formula": "CaZnSeBr2",
  "functional": "GGA-PBEsol",
  "state": "optimized geometry",
  "total_magnetization_mub_per_fu": 0.000,
  "raw_formation_energy_ev_per_atom": -0.94,
  "space_group": "P4/mmm",
  "cell": [[5.013, 0.000, 0.000], [0.000, 5.013, 0.000], [0.000, 0.000, 5.079]],
  "species": ["Zn", "Ca", "Se", "Br", "Br"],
  "frac_coords": [[0.000, 0.000, 0.000], [0.500, 0.500, 0.500], [0.000, 0.000, 0.500], [0.000, 0.500, 0.000], [0.500, 0.000, 0.000]]
}

No. 2
{
  "formula": "Ca2SiBr",
  "functional": "GGA-PBEsol",
  "state": "optimized geometry",
  "total_magnetization_mub_per_fu": 0.000,
  "raw_formation_energy_ev_per_atom": -0.86,
  "space_group": "C2/m",
  "cell": [[-1.943, -2.643, -0.794], [-0.032, -1.511, 5.142], [-4.378, 2.973, 0.846]],
  "species": ["Br", "Ca", "Ca", "Si"],
  "frac_coords": [[0.500, 0.000, 0.000], [0.000, 0.000, 0.500], [0.000, 0.500, 0.000], [0.500, 0.500, 0.500]]
}

No. 3
{
  "formula": "CaSiBr",
  "functional": "GGA-PBEsol",
  "state": "optimized geometry",
  "total_magnetization_mub_per_fu": 0.001,
  "raw_formation_energy_ev_per_atom": -0.39,
  "space_group": "I4mm",
  "cell": [[-1.548, 2.972, -0.283], [-2.072, -0.841, 2.512], [6.457, 1.811, 3.681]],
  "species": ["Ca", "Si", "Br"],
  "frac_coords": [[0.345, 0.345, 0.689], [0.697, 0.697, 0.395], [0.958, 0.958, 0.916]]
}

No. 4
{
  "formula": "Ca3SiBr",
  "functional": "GGA-PBEsol",
  "state": "optimized geometry",
  "total_magnetization_mub_per_fu": 0.001,
  "raw_formation_energy_ev_per_atom": -0.52,
  "space_group": "Pm-3m",
  "cell": [[-2.469, 3.958, 3.149], [-5.057, -1.849, -1.641], [-0.119, -3.549, 4.367]],
  "species": ["Ca", "Ca", "Ca", "Si", "Br"],
  "frac_coords": [[0.000, 0.500, 0.000], [0.000, 0.000, 0.500], [0.500, 0.000, 0.000], [0.000, 0.000, 0.000], [0.500, 0.500, 0.500]]
}